An optimized crystal structure of KMoO3, computed with PBE with a Hubbard U.

abc: 10.0091 10.0091 10.0091
angles: 154.38 154.38 36.55
Closest atoms and distances in Å follow each position.
Positions (direct):
K  0.0967  0.0967  0.0000  8 O 2.86-2.99
K  0.9033  0.9033  0.0000  8 O 2.86-2.99
Mo  0.5000  0.5000  0.0000  4 O 2.22
Mo  0.7500  0.2500  0.5000  4 O 1.79
O  0.0020  0.5020  0.5000  2 Mo 2.22
O  0.0926  0.3191  0.7735  1 Mo 1.79
O  0.4980  0.9980  0.5000  2 Mo 2.22
O  0.5456  0.3191  0.2265  1 Mo 1.79
O  0.6809  0.4544  0.7735  1 Mo 1.79
O  0.6809  0.9074  0.2265  1 Mo 1.79

Total DFT energy (no corrections): -56.7 eV per cell